No. 1
Entry from Alexandria via LeMat-Bulk: a geometry-optimized Ce2CuAg3 structure (GGA-PBE).

Lattice parameters (Å, degrees): 3.239 4.806 8.379 90.00 90.00 90.00
Fractional coordinates of all 6 atoms:
Ce (0.000, 0.500, 0.011)
Ce (0.000, 0.000, 0.491)
Cu (0.500, 0.500, 0.333)
Ag (0.500, 0.000, 0.834)
Ag (0.500, 0.000, 0.173)
Ag (0.500, 0.500, 0.658)

Output
Its space-group type is Pmm2. The calculation puts the formation energy at -129 meV/atom.

No. 2
Entry from Alexandria via LeMat-Bulk: a geometry-optimized LaTb2Er structure (GGA-PBE).

Lattice parameters (Å, degrees): 3.616 3.616 11.792 81.18 81.18 60.00
Fractional coordinates of all 4 atoms:
La (0.666, 0.666, 0.001)
Tb (0.086, 0.086, 0.743)
Tb (0.248, 0.248, 0.257)
Er (0.500, 0.500, 0.499)

Output
Its space-group type is R3m. The calculation puts the formation energy at 8 meV/atom.

no.,E_tot (eV per atom)
1,-4.216
2,-4.680